Here is Tb2Sm5Tl after structural relaxation from Alexandria via LeMat-Bulk. Energies are from GGA-PBE.

Results
Volume, Å³ per cell: 510.9
Total moment, μB/atom: 0.00
Excess energy over the best structure of this formula in the dataset, meV/atom: 46

Cell: 3.483 11.242 13.049 Å, 90.00 90.00 90.00°
Atoms (fractional coordinates):
Tb 0.000 0.000 0.232
Tb 0.000 0.000 0.768
Tb 0.500 0.500 0.268
Tb 0.500 0.500 0.732
Sm 0.000 0.000 0.500
Sm 0.000 0.264 0.131
Sm 0.000 0.264 0.869
Sm 0.000 0.736 0.131
Sm 0.000 0.736 0.869
Sm 0.500 0.236 0.369
Sm 0.500 0.236 0.631
Sm 0.500 0.500 0.000
Sm 0.500 0.764 0.369
Sm 0.500 0.764 0.631
Tl 0.000 0.500 0.500
Tl 0.500 0.000 0.000



Here is TlIn3 after structural relaxation from Alexandria via LeMat-Bulk. Energies are from GGA-PBE.

Results
Raw total energy, eV per cell: -20.90
Volume, Å³ per cell: 226.4
Total moment, μB/atom: 0.00

Cell: 5.662 7.037 5.683 Å, 90.00 90.00 90.00°
Atoms (fractional coordinates):
Tl 0.250 0.250 0.187
Tl 0.750 0.750 0.813
In 0.250 0.501 0.688
In 0.250 0.750 0.195
In 0.250 0.999 0.688
In 0.750 0.001 0.312
In 0.750 0.250 0.805
In 0.750 0.499 0.312



Here is VHgSbAs2 after structural relaxation from Alexandria via LeMat-Bulk. Energies are from GGA-PBE.

Results
Volume, Å³ per cell: 144.1
Total moment, μB/atom: 0.04
Uncorrected formation energy, eV/atom: 1.17

Cell: 5.314 5.314 5.102 Å, 90.00 90.00 90.00°
Atoms (fractional coordinates):
V 0.000 0.000 0.000
Hg 0.500 0.500 0.000
Sb 0.000 0.000 0.500
As 0.000 0.500 0.500
As 0.500 0.000 0.500



Here is K2PaMn2N4 after structural relaxation from Alexandria via LeMat-Bulk. Energies are from GGA-PBE.

Results
Volume, Å³ per cell: 152.6
Total moment, μB/atom: 0.31
Uncorrected formation energy, eV/atom: -0.60

Cell: 6.961 6.961 6.455 Å, 91.19 91.19 29.21°
Atoms (fractional coordinates):
K 0.127 0.127 0.494
K 0.873 0.873 0.506
Pa 0.000 0.000 0.000
Mn 0.310 0.310 0.053
Mn 0.690 0.690 0.947
N 0.172 0.172 0.066
N 0.444 0.444 0.188
N 0.556 0.556 0.812
N 0.828 0.828 0.934